PBEsol PPdBrCl2, relaxed; energy relative to the elements, uncorrected = 0.203 eV per atom
1.0
4.699 0.000 0.000
0.000 4.699 0.000
0.000 0.000 4.746
P Pd Br Cl
1 1 1 2
Direct
0.000 0.000 0.000 P
0.000 0.000 0.500 Pd
0.500 0.500 0.000 Br
0.000 0.500 0.500 Cl
0.500 0.000 0.500 Cl